## K4ZnW3O12 (PBE with a Hubbard U)

Data for an optimized crystal structure of K4ZnW3O12.

abc: 8.059 10.016 10.374
angles: 95.94 106.46 105.53
Positions (direct):
K1 0.791 0.778 0.240
K2 0.745 0.469 0.534
K3 0.000 0.000 0.000
K4 0.357 0.108 0.429
K5 0.643 0.892 0.571
K6 0.500 0.000 0.000
K7 0.255 0.531 0.466
K8 0.209 0.222 0.760
Zn1 0.837 0.438 0.152
Zn2 0.163 0.562 0.848
W1 0.773 0.278 0.827
W2 0.227 0.722 0.173
W3 0.878 0.181 0.366
W4 0.391 0.394 0.159
W5 0.609 0.606 0.841
W6 0.122 0.819 0.634
O1 0.763 0.278 0.005
O2 0.618 0.495 0.159
O3 0.776 0.513 0.900
O4 0.032 0.617 0.220
O5 0.703 0.129 0.445
O6 0.888 0.359 0.327
O7 0.904 0.804 0.513
O8 0.685 0.777 0.950
O9 0.297 0.871 0.555
O10 0.968 0.383 0.780
O11 0.407 0.370 0.332
O12 0.172 0.948 0.786
O13 0.237 0.722 0.995
O14 0.442 0.737 0.298
O15 0.382 0.505 0.841
O16 0.315 0.223 0.050
O17 0.112 0.641 0.673
O18 0.828 0.052 0.214
O19 0.096 0.196 0.487
O20 0.224 0.487 0.100
O21 0.203 0.895 0.203
O22 0.558 0.263 0.702
O23 0.593 0.630 0.668
O24 0.797 0.105 0.797

## K3ZnW2O9 (PBE with a Hubbard U)

Data for an optimized crystal structure of K3ZnW2O9.

abc: 5.713 5.713 7.059
angles: 90.00 90.00 120.00
Positions (direct):
K1 0.333 0.667 0.662
K2 0.000 0.000 0.000
K3 0.667 0.333 0.338
Zn1 0.000 0.000 0.500
W1 0.333 0.667 0.176
W2 0.667 0.333 0.824
O1 0.827 0.173 0.681
O2 0.827 0.653 0.681
O3 0.347 0.173 0.681
O4 0.653 0.827 0.319
O5 0.173 0.347 0.319
O6 0.173 0.827 0.319
O7 0.500 0.000 0.000
O8 0.000 0.500 0.000
O9 0.500 0.500 0.000

## KZrWO6 (PBE with a Hubbard U)

Data for an optimized crystal structure of KZrWO6.

abc: 5.553 5.553 5.808
angles: 90.00 90.00 60.00
Positions (direct):
K1 0.000 0.000 0.000
Zr1 0.666 0.667 0.500
W1 0.334 0.333 0.500
O1 0.021 0.387 0.309
O2 0.387 0.021 0.691
O3 0.592 0.387 0.691
O4 0.021 0.592 0.691
O5 0.387 0.592 0.309
O6 0.592 0.021 0.309

no.,calculated total energy (eV per atom)
1,-6.33
2,-6.07
3,-7.38